No. 1
## Th2GaCo3Ge4 (GGA-PBE)

Data for a relaxed Th2GaCo3Ge4 crystal.

Output
* SG: No. 115
* final energy: -63.344 eV per cell
* formation energy from the elements: -0.569 eV per atom

extended XYZ file:
```
10
Lattice="4.149 0.000 0.000 0.000 4.149 0.000 0.000 0.000 10.016" Properties=species:S:1:pos:R:3 pbc="T T T"
Ge 0.000 2.075 3.547
Co 0.000 2.075 1.209
Th 0.000 2.075 7.617
Th 2.075 0.000 2.399
Co 0.000 0.000 5.008
Ge 2.075 2.075 0.000
Ge 0.000 0.000 0.000
Ge 2.075 0.000 6.469
Co 2.075 0.000 8.807
Ga 2.075 2.075 5.008
```

=====

No. 2
## CaEuCdNi (GGA-PBE)

Data for a relaxed CaEuCdNi crystal.

Output
* SG: No. 216
* final energy: -19.372 eV per cell
* formation energy from the elements: -0.100 eV per atom

extended XYZ file:
```
4
Lattice="-3.344 -3.907 0.899 1.031 -3.515 3.720 -2.824 -0.060 4.390" Properties=species:S:1:pos:R:3 pbc="T T T"
Eu 0.000 0.000 0.000
Cd -3.853 -5.611 6.757
Ni -1.284 -1.870 2.252
Ca -2.569 -3.741 4.505
```

=====

no.,size of the total moment (μB per cell)
1,0.32
2,7.13